Entry 1:
Below is a relaxed structure of K2VI8, with properties calculated at the PBE level.

Structure (POSCAR):
```
K2VI8
1.0
7.354 -6.467 0.000
7.354 6.467 0.000
-1.739 0.000 6.145
K V I
2 1 8
Cartesian
3.081 0.000 0.807 K
9.888 0.000 5.338 K
7.354 0.000 0.000 V
-0.411 0.000 1.560 I
6.076 1.939 1.367 I
3.541 0.000 4.275 I
6.893 1.939 4.778 I
6.076 -1.939 1.367 I
9.428 0.000 1.870 I
6.893 -1.939 4.778 I
13.380 0.000 4.584 I
```

Values from the calculation:
* uncorrected formation energy: -0.61 eV/atom
* crystal system: monoclinic
* total DFT energy (no corrections): -30.441 eV/cell

---

Entry 2:
Below is a relaxed structure of KVI3, with properties calculated at the PBE level.

Structure (POSCAR):
```
KVI3
1.0
6.334 0.000 0.000
0.000 6.334 0.000
0.000 0.000 6.334
K V I
1 1 3
Cartesian
0.000 0.000 0.000 K
3.167 3.167 3.167 V
0.000 0.000 3.167 I
0.000 3.167 0.000 I
3.167 0.000 0.000 I
```

Values from the calculation:
* uncorrected formation energy: 0.41 eV/atom
* crystal system: cubic
* total DFT energy (no corrections): -12.810 eV/cell

---

Entry 3:
Below is a relaxed structure of K4VI6, with properties calculated at the PBE level.

Structure (POSCAR):
```
K4VI6
1.0
9.626 0.000 0.000
0.000 9.626 0.000
0.000 0.000 10.047
K V I
8 2 12
Cartesian
1.710 3.103 2.512 K
1.710 3.103 7.535 K
3.103 7.916 2.512 K
3.103 7.916 7.535 K
6.523 1.710 2.512 K
6.523 1.710 7.535 K
7.916 6.523 2.512 K
7.916 6.523 7.535 K
0.000 0.000 0.000 V
4.813 4.813 5.023 V
0.000 0.000 2.871 I
0.000 0.000 7.176 I
0.811 6.814 0.000 I
2.001 5.624 5.023 I
2.811 0.811 0.000 I
4.001 2.001 5.023 I
4.813 4.813 2.152 I
4.813 4.813 7.894 I
5.624 7.624 5.023 I
6.814 8.814 0.000 I
7.624 4.001 5.023 I
8.814 2.811 0.000 I
```

Values from the calculation:
* uncorrected formation energy: -1.16 eV/atom
* crystal system: tetragonal
* total DFT energy (no corrections): -71.247 eV/cell

---

Entry 4:
Below is a relaxed structure of K3VI, with properties calculated at the PBE level.

Structure (POSCAR):
```
K3VI
1.0
6.625 0.000 0.000
0.000 6.625 0.000
0.000 0.000 6.625
K V I
3 1 1
Cartesian
0.000 0.000 3.313 K
0.000 3.313 0.000 K
3.313 0.000 0.000 K
3.313 3.313 3.313 V
0.000 0.000 0.000 I
```

Values from the calculation:
* offset from the most stable computed form: 0 meV per atom
* uncorrected formation energy: 0.30 eV/atom
* crystal system: cubic
* total DFT energy (no corrections): -12.480 eV/cell

---

Entry 5:
Below is a relaxed structure of KV3I12, with properties calculated at the PBE level.

Structure (POSCAR):
```
KV3I12
1.0
6.468 3.734 13.159
-6.468 3.734 13.159
0.000 -7.469 13.159
K V I
2 6 24
Cartesian
0.000 0.000 0.000 K
0.000 0.000 19.739 K
-1.628 -3.626 15.094 V
-4.141 -0.511 21.673 V
-2.327 3.223 15.094 V
2.514 -3.331 21.673 V
3.954 0.404 15.094 V
1.628 3.842 21.673 V
-2.800 1.548 8.216 I
0.059 -3.199 8.216 I
-0.266 -3.675 12.944 I
-3.419 -1.667 19.523 I
-4.166 -2.258 23.517 I
-3.050 2.068 12.944 I
-0.127 -2.732 16.938 I
-4.040 -2.453 28.841 I
-2.302 1.476 16.938 I
-2.428 1.282 22.262 I
0.104 -2.743 22.262 I
2.741 1.651 8.216 I
-0.059 -3.199 27.955 I
-2.741 1.651 27.955 I
3.153 -2.127 19.523 I
3.315 1.607 12.944 I
2.430 1.256 16.938 I
0.266 3.794 19.523 I
4.038 -2.479 23.517 I
2.324 1.462 22.262 I
0.127 4.737 23.517 I
-0.104 4.725 28.841 I
4.144 -2.273 28.841 I
2.800 1.548 27.955 I
```

Values from the calculation:
* uncorrected formation energy: -0.51 eV/atom
* crystal system: trigonal
* total DFT energy (no corrections): -110.576 eV/cell

---

Entry 6:
Below is a relaxed structure of KV2I, with properties calculated at the PBE level.

Structure (POSCAR):
```
KV2I
1.0
7.618 0.000 0.000
0.000 7.618 0.000
0.000 0.000 7.618
K V I
4 8 4
Cartesian
0.000 0.000 0.000 K
0.000 3.809 3.809 K
3.809 0.000 3.809 K
3.809 3.809 0.000 K
1.904 1.904 1.904 V
1.904 1.904 5.713 V
1.904 5.713 1.904 V
1.904 5.713 5.713 V
5.713 1.904 1.904 V
5.713 1.904 5.713 V
5.713 5.713 1.904 V
5.713 5.713 5.713 V
0.000 0.000 3.809 I
0.000 3.809 0.000 I
3.809 0.000 0.000 I
3.809 3.809 3.809 I
```

Values from the calculation:
* offset from the most stable computed form: 334 meV per atom
* uncorrected formation energy: 1.30 eV/atom
* crystal system: cubic
* total DFT energy (no corrections): -62.788 eV/cell

---

Entry 7:
Below is a relaxed structure of KVI2, with properties calculated at the PBE level.

Structure (POSCAR):
```
KVI2
1.0
8.002 0.000 0.000
0.000 8.002 0.000
0.000 0.000 8.002
K V I
4 4 8
Cartesian
0.000 0.000 0.000 K
0.000 4.001 4.001 K
4.001 0.000 4.001 K
4.001 4.001 0.000 K
0.000 0.000 4.001 V
0.000 4.001 0.000 V
4.001 0.000 0.000 V
4.001 4.001 4.001 V
2.000 2.000 2.000 I
2.000 2.000 6.001 I
2.000 6.001 2.000 I
2.000 6.001 6.001 I
6.001 2.000 2.000 I
6.001 2.000 6.001 I
6.001 6.001 2.000 I
6.001 6.001 6.001 I
```

Values from the calculation:
* offset from the most stable computed form: 293 meV per atom
* uncorrected formation energy: -0.13 eV/atom
* crystal system: cubic
* total DFT energy (no corrections): -55.384 eV/cell

---

Entry 8:
Below is a relaxed structure of K2WI, with properties calculated at the PBE level.

Structure (POSCAR):
```
K2WI
1.0
8.652 0.000 0.000
0.000 8.652 0.000
0.000 0.000 8.652
K W I
8 4 4
Cartesian
2.163 2.163 2.163 K
2.163 2.163 6.489 K
2.163 6.489 2.163 K
2.163 6.489 6.489 K
6.489 2.163 2.163 K
6.489 2.163 6.489 K
6.489 6.489 2.163 K
6.489 6.489 6.489 K
0.000 0.000 0.000 W
0.000 4.326 4.326 W
4.326 0.000 4.326 W
4.326 4.326 0.000 W
0.000 0.000 4.326 I
0.000 4.326 0.000 I
4.326 0.000 0.000 I
4.326 4.326 4.326 I
```

Values from the calculation:
* offset from the most stable computed form: 0 meV per atom
* uncorrected formation energy: 0.93 eV/atom
* crystal system: cubic
* total DFT energy (no corrections): -51.978 eV/cell